1.
SrSe | SCAN | PBEsol geometry

Unit cell a=6.202 b=6.202 c=6.202 alpha=90.00 beta=90.00 gamma=90.00
Space group Fm-3m (No. 225)
One atom of each set of equivalent atoms:
Sr  0.000  0.000  0.000 [4 per cell]
Se  0.000  0.000  0.500 [4 per cell]

Properties
Total energy: -23.51 eV/atom

***

2.
Sr3Se2 | SCAN | PBEsol geometry

Unit cell a=4.3366 b=4.3366 c=10.7301 alpha=90.00 beta=90.00 gamma=120.00
Space group P-3m1 (No. 164)
One atom of each set of equivalent atoms:
Sr  0.0000  0.0000  0.0000 [1 per cell]
Sr  0.3333  0.6667  0.3360 [2 per cell]
Se  0.3333  0.6667  0.8308 [2 per cell]

Properties
Total energy: -23.20 eV/atom

***

3.
SrTa3Se | SCAN | PBEsol geometry

Unit cell a=4.844 b=4.844 c=4.844 alpha=90.00 beta=90.00 gamma=90.00
Space group Pm-3m (No. 221)
One atom of each set of equivalent atoms:
Sr  0.000  0.000  0.000 [1 per cell]
Ta  0.000  0.000  0.500 [3 per cell]
Se  0.500  0.500  0.500 [1 per cell]

Properties
Total energy: -45.25 eV/atom

***

4.
SrTaSe | SCAN | PBEsol geometry

Unit cell a=3.426 b=3.426 c=11.835 alpha=90.00 beta=90.00 gamma=90.00
Space group I4mm (No. 107)
One atom of each set of equivalent atoms:
Sr  0.000  0.000  0.000 [2 per cell]
Ta  0.000  0.000  0.298 [2 per cell]
Se  0.000  0.000  0.710 [2 per cell]

Properties
Total energy: -36.52 eV/atom

***

5.
Sr2TaSe | SCAN | PBEsol geometry

Unit cell a=4.283 b=5.404 c=9.820 alpha=90.00 beta=90.00 gamma=90.00
Space group Immm (No. 71)
One atom of each set of equivalent atoms:
Sr  0.000  0.000  0.221 [4 per cell]
Ta  0.000  0.500  0.000 [2 per cell]
Se  0.000  0.500  0.500 [2 per cell]

Properties
Total energy: -32.43 eV/atom

***

6.
Sr4TaSe | SCAN | PBEsol geometry

Unit cell a=9.436 b=9.436 c=9.436 alpha=90.00 beta=90.00 gamma=90.00
Space group F-43m (No. 216)
One atom of each set of equivalent atoms:
Sr  0.125  0.125  0.125 [16 per cell]
Ta  0.250  0.250  0.750 [4 per cell]
Se  0.000  0.000  0.500 [4 per cell]

Properties
Total energy: -28.36 eV/atom

***

| no. | formation energy without anion corrections (kJ per mole of atoms) |
| --- | --- |
| 1 | -226 |
| 2 | -174 |
| 3 | 306 |
| 4 | -20 |
| 5 | 36 |
| 6 | 90 |